[1]
The following is a PBE calculation of crystalline AlZnCd at its relaxed geometry, from Alexandria via LeMat-Bulk.

Geometry as POSCAR:
```
AlZnCd
1.0
4.6965 0.0000 0.0000
-2.3482 4.0673 0.0000
0.0000 0.0000 3.0101
Al Zn Cd
1 1 1
Cartesian
0.0000 0.0000 0.0000
2.3482 1.3558 0.0000
0.0000 2.7115 1.5051
```

Output
**Formation enthalpy at 0 K**: 0.16 eV/atom
**Spin magnetization**: 0.0 Bohr magnetons per cell
**Calculated volume**: 19.166 A^3/atom
**DOS at the Fermi energy**: 0.293 states/eV per atom
**Space-group type**: P-6m2 (187)
**Calculated total energy**: -1.82 eV/atom



[2]
The following is a PBE calculation of crystalline Ga2AgPt at its relaxed geometry, from Alexandria via LeMat-Bulk.

Geometry as POSCAR:
```
Ga2AgPt
1.0
3.1324 -2.1316 0.0000
3.1324 2.1316 0.0000
-0.4889 0.0000 5.5345
Ga Ag Pt
2 1 1
Cartesian
0.6024 0.0000 1.5609
5.1734 0.0000 3.9737
3.1324 0.0000 0.0000
2.8879 0.0000 2.7673
```

Output
**Formation enthalpy at 0 K**: -0.30 eV/atom
**Spin magnetization**: 0.0 Bohr magnetons per cell
**Calculated volume**: 18.477 A^3/atom
**DOS at the Fermi energy**: 0.378 states/eV per atom
**Space-group type**: C2/m (12)
**Calculated total energy**: -4.04 eV/atom



[3]
The following is a PBE calculation of crystalline Er3Ga3Ge2 at its relaxed geometry, from Alexandria via LeMat-Bulk.

Geometry as POSCAR:
```
Er3Ga3Ge2
1.0
2.0283 -5.4700 0.0000
2.0283 5.4700 0.0000
0.0000 0.0000 15.3090
Er Ga Ge
6 6 4
Cartesian
2.0283 4.5265 11.4817
2.0283 1.4668 9.0876
2.0283 1.4668 13.8759
2.0283 -1.4668 1.4331
2.0283 -1.4668 6.2214
2.0283 -4.5265 3.8272
2.0283 4.6888 8.5475
2.0283 4.6888 14.4160
2.0283 3.5615 3.8272
2.0283 -3.5615 11.4817
2.0283 -4.6888 0.8930
2.0283 -4.6888 6.7615
2.0283 1.8275 1.8426
2.0283 1.8275 5.8119
2.0283 -1.8275 9.4971
2.0283 -1.8275 13.4664
```

Output
**Formation enthalpy at 0 K**: -0.61 eV/atom
**Spin magnetization**: 0.0 Bohr magnetons per cell
**Calculated volume**: 21.231 A^3/atom
**DOS at the Fermi energy**: 0.326 states/eV per atom
**Space-group type**: Cmcm (63)
**Calculated total energy**: -4.61 eV/atom



[4]
The following is a PBE calculation of crystalline TlCdFe2 at its relaxed geometry, from Alexandria via LeMat-Bulk.

Geometry as POSCAR:
```
TlCdFe2
1.0
1.4903 0.8604 9.1078
-1.4903 0.8604 9.1078
0.0000 -1.7209 9.1078
Tl Cd Fe
1 1 2
Cartesian
0.0000 0.0000 0.0000
0.0000 0.0000 13.6616
0.0000 0.0000 6.8133
0.0000 0.0000 20.5100
```

Output
**Formation enthalpy at 0 K**: 0.61 eV/atom
**Spin magnetization**: 5.1 Bohr magnetons per cell
**Calculated volume**: 17.518 A^3/atom
**DOS at the Fermi energy**: 0.894 states/eV per atom
**Space-group type**: R-3m (166)
**Calculated total energy**: -4.44 eV/atom



[5]
The following is a PBE calculation of crystalline Y2CoHgC at its relaxed geometry, from Alexandria via LeMat-Bulk.

Geometry as POSCAR:
```
Y2CoHgC
1.0
5.0786 0.0000 0.0000
0.0000 5.0786 0.0000
0.0000 0.0000 3.6845
Y Co Hg C
2 1 1 1
Cartesian
0.0000 2.5393 0.0000
2.5393 0.0000 0.0000
0.0000 0.0000 1.8423
2.5393 2.5393 1.8423
0.0000 0.0000 0.0000
```

Output
**Formation enthalpy at 0 K**: -0.41 eV/atom
**Spin magnetization**: 0.0 Bohr magnetons per cell
**Calculated volume**: 19.006 A^3/atom
**DOS at the Fermi energy**: 0.581 states/eV per atom
**Space-group type**: P4/mmm (123)
**Calculated total energy**: -6.32 eV/atom



[6]
The following is a PBE calculation of crystalline Ni2RuSe at its relaxed geometry, from Alexandria via LeMat-Bulk.

Geometry as POSCAR:
```
Ni2RuSe
1.0
4.0695 -1.4836 0.0000
4.0695 1.4836 0.0000
-0.9211 0.0000 4.3640
Ni Ru Se
2 1 1
Cartesian
0.0000 0.0000 0.0000
5.8719 0.0000 0.8394
3.5967 0.0000 2.1083
1.2967 0.0000 3.2201
```

Output
**Spin magnetization**: 0.0 Bohr magnetons per cell
**Calculated volume**: 13.173 A^3/atom
**DOS at the Fermi energy**: 1.287 states/eV per atom
**Space-group type**: Cm (8)
**E_form (uncorrected)**: 0.193 eV/atom
**Calculated total energy**: -5.89 eV/atom



[7]
The following is a PBE calculation of crystalline TaFeAu2 at its relaxed geometry, from Alexandria via LeMat-Bulk.

Geometry as POSCAR:
```
TaFeAu2
1.0
1.8865 -2.0974 0.0000
1.8865 2.0974 0.0000
0.0000 0.0000 8.3604
Ta Fe Au
1 1 2
Cartesian
0.0000 0.0000 0.0000
1.8865 0.0000 1.9385
0.0000 0.0000 3.8602
1.8865 0.0000 6.1921
```

Output
**Formation enthalpy at 0 K**: 0.05 eV/atom
**Spin magnetization**: 2.4 Bohr magnetons per cell
**Calculated volume**: 16.540 A^3/atom
**DOS at the Fermi energy**: 0.745 states/eV per atom
**Space-group type**: Cmm2 (35)
**Calculated total energy**: -6.67 eV/atom



[8]
The following is a PBE calculation of crystalline La2Tl3VSe6 at its relaxed geometry, from Alexandria via LeMat-Bulk.

Geometry as POSCAR:
```
La2Tl3VSe6
1.0
3.6611 -6.2986 0.0000
3.6611 6.2986 0.0000
-2.4426 0.0000 7.6768
La Tl V Se
2 3 1 6
Cartesian
3.6611 4.2081 0.0000
3.6611 -4.2081 0.0000
-1.2213 0.0000 3.8384
2.4398 2.1746 3.8384
2.4398 -2.1746 3.8384
3.6611 0.0000 0.0000
0.1287 1.8671 6.1463
1.4628 0.0000 1.6192
0.1287 -1.8671 6.1463
4.7510 1.8671 1.5305
3.4168 0.0000 6.0576
4.7510 -1.8671 1.5305
```

Output
**Spin magnetization**: 2.0 Bohr magnetons per cell
**Calculated volume**: 29.504 A^3/atom
**DOS at the Fermi energy**: 0.644 states/eV per atom
**Space-group type**: C2/m (12)
**E_form (uncorrected)**: -1.096 eV/atom
**Calculated total energy**: -5.01 eV/atom



> Look up the spin magnetization of the sixth one.

0.0 Bohr magnetons per cell



> Number 8 is which compound?

La2Tl3VSe6



> Among the records above, which one has the lowest calculated volume?

Ni2RuSe



> Number 5 is which compound?

Y2CoHgC